Record 1
The following is a DFT calculation (PBE) of crystalline FeRe2Sb at its relaxed geometry.

Unit cell a=5.3324 b=7.7270 c=3.0434 alpha=90.00 beta=90.00 gamma=90.00
Space group Cmmm (No. 65)
Unique sites:
Fe1 0.0000 0.0000 0.0000 [2 per cell]
Re1 0.2500 0.2500 0.5000 [4 per cell]
Sb1 0.0000 0.5000 0.0000 [2 per cell]

E_form (uncorrected)   0.633 eV/atom



Record 2
The following is a DFT calculation (PBE) of crystalline Fe3ReSb at its relaxed geometry.

Unit cell a=4.5560 b=4.5560 c=4.5560 alpha=90.00 beta=90.00 gamma=90.00
Space group Pm-3m (No. 221)
Unique sites:
Fe1 0.0000 0.0000 0.5000 [3 per cell]
Re1 0.0000 0.0000 0.0000 [1 per cell]
Sb1 0.5000 0.5000 0.5000 [1 per cell]

E_form (uncorrected)   1.336 eV/atom



Record 3
The following is a DFT calculation (PBE) of crystalline FeReSb2 at its relaxed geometry.

Unit cell a=3.0934 b=3.0934 c=31.2069 alpha=90.00 beta=90.00 gamma=120.00
Space group R3m (No. 160, hexagonal axes)
Unique sites:
Fe1 0.0000 0.0000 0.0000 [3 per cell]
Re1 0.0000 0.0000 0.2729 [3 per cell]
Sb1 0.0000 0.0000 0.5375 [3 per cell]
Sb2 0.0000 0.0000 0.7326 [3 per cell]

E_form (uncorrected)   0.437 eV/atom



Record 4
The following is a DFT calculation (PBE) of crystalline FeReSb at its relaxed geometry.

Unit cell a=3.3052 b=3.3052 c=8.8193 alpha=90.00 beta=90.00 gamma=90.00
Space group I4mm (No. 107)
Unique sites:
Fe1 0.0000 0.0000 0.0000 [2 per cell]
Re1 0.0000 0.0000 0.3480 [2 per cell]
Sb1 0.0000 0.0000 0.6720 [2 per cell]

E_form (uncorrected)   0.496 eV/atom



Record 5
The following is a DFT calculation (PBE) of crystalline FeReSb at its relaxed geometry.

Unit cell a=5.8621 b=5.8621 c=5.8621 alpha=90.00 beta=90.00 gamma=90.00
Space group F-43m (No. 216)
Unique sites:
Fe1 0.0000 0.0000 0.0000 [4 per cell]
Re1 0.2500 0.2500 0.2500 [4 per cell]
Sb1 0.2500 0.2500 0.7500 [4 per cell]

E_form (uncorrected)   0.395 eV/atom



Record 6
The following is a DFT calculation (PBE) of crystalline Fe2ReSb at its relaxed geometry.

Unit cell a=2.9027 b=3.7866 c=5.4074 alpha=90.00 beta=90.00 gamma=90.00
Space group Pmmm (No. 47)
Unique sites:
Fe1 0.0000 0.0000 0.2161 [2 per cell]
Re1 0.5000 0.5000 0.0000 [1 per cell]
Sb1 0.5000 0.5000 0.5000 [1 per cell]

E_form (uncorrected)   0.375 eV/atom